[1]
The following is a PBE calculation of a relaxed HoRh4O8 crystal, from Alexandria.

Unit cell a=6.2407 b=6.2407 c=6.1817 alpha=59.68 beta=59.68 gamma=60.00
Positions (direct):
Ho 0.5000 0.5000 0.5000
Rh 0.0000 0.5000 0.0000
Rh 0.5000 0.5000 0.0000
Rh 0.5000 0.0000 0.0000
Rh 0.0000 0.0000 0.0000
O 0.7335 0.2369 0.7928
O 0.7631 0.2665 0.2072
O 0.2665 0.7631 0.2072
O 0.7631 0.7631 0.2072
O 0.7272 0.7272 0.8183
O 0.2728 0.2728 0.1817
O 0.2369 0.2369 0.7928
O 0.2369 0.7335 0.7928

Values from the calculation:
V	169.42	Å³/cell
magnetic moment	0.7	Bohr magnetons per cell
formation energy (no corrections)	-114	kJ per mole of atoms
total DFT energy (no corrections)	-6.852	eV per atom

=====

[2]
The following is a PBE calculation of a relaxed Ho2Rh2O7 crystal, from Alexandria.

Unit cell a=7.2068 b=7.2068 c=7.2068 alpha=60.00 beta=60.00 gamma=60.00
Positions (direct):
Ho 0.6250 0.6250 0.6250
Ho 0.6250 0.6250 0.1250
Ho 0.6250 0.1250 0.6250
Ho 0.1250 0.6250 0.6250
Rh 0.6250 0.1250 0.1250
Rh 0.1250 0.6250 0.1250
Rh 0.1250 0.1250 0.6250
Rh 0.1250 0.1250 0.1250
O 0.2127 0.2127 0.7873
O 0.2127 0.7873 0.2127
O 0.4627 0.0373 0.4627
O 0.4627 0.4627 0.0373
O 0.7500 0.7500 0.7500
O 0.7873 0.2127 0.2127
O 0.4627 0.0373 0.0373
O 0.0373 0.4627 0.4627
O 0.0373 0.0373 0.4627
O 0.0373 0.4627 0.0373
O 0.2127 0.7873 0.7873
O 0.5000 0.5000 0.5000
O 0.7873 0.2127 0.7873
O 0.7873 0.7873 0.2127

Values from the calculation:
V	264.67	Å³/cell
magnetic moment	3.0	Bohr magnetons per cell
E above lowest polymorph	0	meV per atom
formation energy (no corrections)	-201	kJ per mole of atoms
total DFT energy (no corrections)	-7.404	eV per atom